No. 1
Density functional theory data (PBE) for a relaxed ZnTc2Os crystal.

Output
The formation energy comes out at 29 kJ/mol of atoms. The value obtained for the spin magnetization is 0.0 μB per formula unit.

abc: 2.841 4.551 9.088
angles: 90.00 90.00 90.00
Space group Cmmm (No. 65)
Unique sites:
Zn: 0.000 0.000 0.000
Tc: 0.000 0.500 0.252
Os: 0.000 0.000 0.500

No. 2
Density functional theory data (PBE) for a relaxed LaPrPaO6 crystal.

Output
The uncorrected formation energy comes out at -27.9 eV per formula unit. The value obtained for the spin magnetization is 0.6 μB per formula unit.

abc: 6.0828 6.0828 4.6903
angles: 90.00 90.00 120.00
Space group P312 (No. 149)
Unique sites:
La: 0.0000 0.0000 0.0000
Pr: 0.6667 0.3333 0.0000
Pa: 0.3333 0.6667 0.5000
O: 0.0263 0.3613 0.2507

Calculated values (eV/atom) of electronic total energy for the records, taken in order: -8.005, -8.539.